Entry 1:
LiEr3Rh4: relaxed, PBE-GGA.

The structure in CIF format:
```
data_LiEr3Rh4
_space_group_name_H-M_alt 'P 1'
_space_group_IT_number 1
_cell_length_a 4.680
_cell_length_b 6.601
_cell_length_c 9.359
_cell_angle_alpha 90.00
_cell_angle_beta 90.00
_cell_angle_gamma 90.00
loop_
_space_group_symop_operation_xyz
'x,y,z'
loop_
_atom_site_label
_atom_site_fract_x
_atom_site_fract_y
_atom_site_fract_z
_atom_site_occupancy
Er1 0.000 0.000 0.000 1
Er2 0.000 0.000 0.500 1
Er3 0.500 0.000 0.750 1
Er4 0.500 0.000 0.250 1
Er5 0.500 0.500 0.750 1
Er6 0.500 0.500 0.250 1
Rh1 0.500 0.746 0.000 1
Rh2 0.500 0.746 0.500 1
Rh3 0.500 0.254 0.000 1
Rh4 0.500 0.254 0.500 1
Rh5 0.000 0.746 0.750 1
Rh6 0.000 0.746 0.250 1
Rh7 0.000 0.254 0.250 1
Rh8 0.000 0.254 0.750 1
Li1 0.000 0.500 0.000 1
Li2 0.000 0.500 0.500 1
```



Entry 2:
LiEr2Rh3: relaxed, PBE-GGA.

The structure in CIF format:
```
data_LiEr2Rh3
_space_group_name_H-M_alt 'P 1'
_space_group_IT_number 1
_cell_length_a 4.620
_cell_length_b 4.620
_cell_length_c 11.357
_cell_angle_alpha 90.00
_cell_angle_beta 90.00
_cell_angle_gamma 120.00
loop_
_space_group_symop_operation_xyz
'x,y,z'
loop_
_atom_site_label
_atom_site_fract_x
_atom_site_fract_y
_atom_site_fract_z
_atom_site_occupancy
Li1 0.333 0.667 0.662 1
Li2 0.667 0.333 0.338 1
Er1 0.000 0.000 0.500 1
Er2 0.333 0.667 0.187 1
Er3 0.667 0.333 0.813 1
Er4 0.000 0.000 0.000 1
Rh1 0.333 0.667 0.424 1
Rh2 0.667 0.333 0.086 1
Rh3 0.000 0.000 0.746 1
Rh4 0.000 0.000 0.254 1
Rh5 0.333 0.667 0.914 1
Rh6 0.667 0.333 0.576 1
```

Calculated values
- excess energy over the best structure of this formula in the dataset (kJ per mole of atoms) = 0.00



Entry 3:
LiEr4Rh: relaxed, PBE-GGA.

The structure in CIF format:
```
data_LiEr4Rh
_space_group_name_H-M_alt 'P 1'
_space_group_IT_number 1
_cell_length_a 7.883
_cell_length_b 7.883
_cell_length_c 7.883
_cell_angle_alpha 102.00
_cell_angle_beta 102.00
_cell_angle_gamma 125.74
loop_
_space_group_symop_operation_xyz
'x,y,z'
loop_
_atom_site_label
_atom_site_fract_x
_atom_site_fract_y
_atom_site_fract_z
_atom_site_occupancy
Li1 0.185 0.185 0.000 1
Li2 0.935 0.435 0.500 1
Er1 0.262 0.953 0.691 1
Er2 0.750 0.489 0.738 1
Er3 0.703 0.512 0.191 1
Er4 0.239 0.000 0.238 1
Er5 0.321 0.512 0.809 1
Er6 0.762 0.000 0.762 1
Er7 0.750 0.012 0.262 1
Er8 0.262 0.571 0.309 1
Rh1 0.790 0.790 0.000 1
Rh2 0.540 0.040 0.500 1
```



Entry 4:
LiEr3Rh: relaxed, PBE-GGA.

The structure in CIF format:
```
data_LiEr3Rh
_space_group_name_H-M_alt 'P 1'
_space_group_IT_number 1
_cell_length_a 6.273
_cell_length_b 9.770
_cell_length_c 9.387
_cell_angle_alpha 121.36
_cell_angle_beta 90.00
_cell_angle_gamma 90.00
loop_
_space_group_symop_operation_xyz
'x,y,z'
loop_
_atom_site_label
_atom_site_fract_x
_atom_site_fract_y
_atom_site_fract_z
_atom_site_occupancy
Li1 0.811 0.498 0.500 1
Li2 0.189 0.502 0.500 1
Li3 0.311 0.002 0.500 1
Li4 0.689 0.998 0.500 1
Er1 0.000 0.699 0.897 1
Er2 0.000 0.301 0.103 1
Er3 0.500 0.801 0.103 1
Er4 0.500 0.199 0.897 1
Er5 0.498 0.428 0.720 1
Er6 0.502 0.572 0.280 1
Er7 0.998 0.072 0.280 1
Er8 0.002 0.928 0.720 1
Er9 0.998 0.291 0.719 1
Er10 0.002 0.709 0.281 1
Er11 0.498 0.209 0.281 1
Er12 0.502 0.791 0.719 1
Rh1 0.250 0.500 0.000 1
Rh2 0.750 0.500 0.000 1
Rh3 0.750 0.000 0.000 1
Rh4 0.250 0.000 0.000 1
```



Entry 5:
LiErRh4: relaxed, PBE-GGA.

The structure in CIF format:
```
data_LiErRh4
_space_group_name_H-M_alt 'P 1'
_space_group_IT_number 1
_cell_length_a 5.218
_cell_length_b 5.218
_cell_length_c 5.218
_cell_angle_alpha 60.00
_cell_angle_beta 60.00
_cell_angle_gamma 60.00
loop_
_space_group_symop_operation_xyz
'x,y,z'
loop_
_atom_site_label
_atom_site_fract_x
_atom_site_fract_y
_atom_site_fract_z
_atom_site_occupancy
Li1 0.000 0.000 0.000 1
Rh1 0.625 0.625 0.124 1
Rh2 0.625 0.124 0.625 1
Rh3 0.625 0.625 0.625 1
Rh4 0.124 0.625 0.625 1
Er1 0.250 0.250 0.250 1
```



Entry 6:
LiEr4Rh3: relaxed, PBE-GGA.

The structure in CIF format:
```
data_LiEr4Rh3
_space_group_name_H-M_alt 'P 1'
_space_group_IT_number 1
_cell_length_a 3.480
_cell_length_b 4.824
_cell_length_c 9.613
_cell_angle_alpha 90.00
_cell_angle_beta 90.00
_cell_angle_gamma 90.00
loop_
_space_group_symop_operation_xyz
'x,y,z'
loop_
_atom_site_label
_atom_site_fract_x
_atom_site_fract_y
_atom_site_fract_z
_atom_site_occupancy
Er1 0.000 0.000 0.500 1
Er2 0.000 0.500 0.740 1
Er3 0.000 0.000 0.000 1
Er4 0.000 0.500 0.260 1
Rh1 0.500 0.000 0.247 1
Rh2 0.500 0.500 0.500 1
Rh3 0.500 0.000 0.753 1
Li1 0.500 0.500 0.000 1
```



Total energy per entry: -0.234, -0.228, -0.169, -0.182, -0.236, -0.220 Ha/atom
Energy relative to the elements per entry: -0.752, -0.694, -0.021, -0.349, -0.447, -0.700 eV per atom